VASP calculation (PBE-GGA) on a geometry-optimized KAs2IrSe structure.

Properties
**Energy relative to the lowest polymorph listed for this composition**: 0 meV/atom
**Energy relative to the elements, uncorrected**: 56 meV/atom
**Symmetry**: P4/mmm, No. 123
**Magnetic moment**: 0.00 μB/f.u.

abc: 4.742 4.742 5.780
angles: 90.00 90.00 90.00
Atoms (fractional coordinates):
K  0.000  0.000  0.000
As  0.000  0.500  0.500
As  0.500  0.000  0.500
Ir  0.500  0.500  0.500
Se  0.500  0.500  0.000



VASP calculation (PBE-GGA) on a geometry-optimized K2ZnAsIr structure.

Properties
**Symmetry**: P4/mmm, No. 123
**Magnetic moment**: 2.00 μB/f.u.
**Formation energy from the elements**: 784 meV per atom

abc: 6.503 6.503 4.493
angles: 90.00 90.00 90.00
Atoms (fractional coordinates):
K  0.000  0.500  0.000
K  0.500  0.000  0.000
Zn  0.000  0.000  0.500
As  0.000  0.000  0.000
Ir  0.500  0.500  0.500



VASP calculation (PBE-GGA) on a geometry-optimized LaAs2Ir structure.

Properties
**Symmetry**: P4mm, No. 99
**Magnetic moment**: 0.00 μB/f.u.
**Formation energy from the elements**: -284 meV per atom

abc: 3.220 3.220 8.790
angles: 90.00 90.00 90.00
Atoms (fractional coordinates):
La  0.000  0.000  0.000
As  0.000  0.000  0.601
As  0.500  0.500  0.247
Ir  0.500  0.500  0.737



VASP calculation (PBE-GGA) on a geometry-optimized LaAs3Ir3 structure.

Properties
**Symmetry**: Pm-3n, No. 223
**Magnetic moment**: 0.00 μB/f.u.
**Formation energy from the elements**: -303 meV per atom

abc: 6.766 6.766 6.766
angles: 90.00 90.00 90.00
Atoms (fractional coordinates):
La  0.000  0.000  0.000
La  0.500  0.500  0.500
As  0.000  0.250  0.500
As  0.000  0.750  0.500
As  0.250  0.500  0.000
As  0.500  0.000  0.250
As  0.500  0.000  0.750
As  0.750  0.500  0.000
Ir  0.000  0.500  0.250
Ir  0.000  0.500  0.750
Ir  0.250  0.000  0.500
Ir  0.500  0.250  0.000
Ir  0.500  0.750  0.000
Ir  0.750  0.000  0.500



| no. | Fermi-level density of states (states/eV per atom) |
| --- | --- |
| 1 | 0.770 |
| 2 | 0.171 |
| 3 | 0.674 |
| 4 | 0.786 |